# 1
NbFeN2O | PBE with a Hubbard U | optimized geometry

DFT total energy (eV/atom): -7.12
Crystal system: tetragonal
SG: P4/mmm

abc: 3.782 3.782 3.644
angles: 90.00 90.00 90.00
Element x y z (fractional)
Nb 0.500 0.500 0.500
Fe 0.000 0.000 0.000
O 0.000 0.000 0.500
N 0.000 0.500 0.000
N 0.500 0.000 0.000

# 2
NbFeN2O | PBE with a Hubbard U | optimized geometry

DFT total energy (eV/atom): -7.61
Crystal system: tetragonal
SG: P4/mmm

abc: 4.072 4.072 3.980
angles: 90.00 90.00 90.00
Element x y z (fractional)
Nb 0.000 0.000 0.000
Fe 0.500 0.500 0.500
O 0.000 0.000 0.500
N 0.000 0.500 0.000
N 0.500 0.000 0.000

# 3
NbFeNO2 | PBE with a Hubbard U | optimized geometry

DFT total energy (eV/atom): -7.78
Crystal system: tetragonal
SG: P4/mmm

abc: 3.952 3.952 4.160
angles: 90.00 90.00 90.00
Element x y z (fractional)
Nb 0.000 0.000 0.000
Fe 0.500 0.500 0.500
O 0.000 0.500 0.000
O 0.500 0.000 0.000
N 0.000 0.000 0.500

# 4
NbFeNO2 | PBE with a Hubbard U | optimized geometry

DFT total energy (eV/atom): -7.04
Crystal system: tetragonal
SG: P4/mmm

abc: 3.727 3.727 3.908
angles: 90.00 90.00 90.00
Element x y z (fractional)
Nb 0.500 0.500 0.500
Fe 0.000 0.000 0.000
O 0.000 0.500 0.000
O 0.500 0.000 0.000
N 0.000 0.000 0.500

Please write out number 2 again, unchanged.
NbFeN2O | PBE with a Hubbard U | optimized geometry

DFT total energy (eV/atom): -7.61
Crystal system: tetragonal
SG: P4/mmm

abc: 4.072 4.072 3.980
angles: 90.00 90.00 90.00
Element x y z (fractional)
Nb 0.000 0.000 0.000
Fe 0.500 0.500 0.500
O 0.000 0.000 0.500
N 0.000 0.500 0.000
N 0.500 0.000 0.000

The lowest DFT total energy belongs to which entry? number 3

Which formula does entry 4 have? NbFeNO2

Which of these has the lowest DFT total energy? number 3